Material: SrTiP3
Method: DFT, PBEsol
State: optimized geometry

a b c (Å): 4.713 4.713 4.713
angles (deg): 90.00 90.00 90.00
Sites, in units of the cell vectors:
Sr 0.500 0.500 0.500
P 0.000 0.500 0.000
P 0.000 0.000 0.500
P 0.500 0.000 0.000
Ti 0.000 0.000 0.000

Output
The calculation puts the size of the total moment at 0.00 Bohr magnetons per cell. The space group is Pm-3m, No. 221. As for the crystal system: cubic. Its total energy is -6.07 eV/atom. As for the density: 3.624 g cm⁻³.